# 1
Below is a geometry-optimized W4C structure, with properties calculated at the PBE level.

Unit cell a=4.166 b=4.166 c=4.166 alpha=90.00 beta=90.00 gamma=90.00
Space group Pm-3m (No. 221)
Symmetry-distinct sites (fractional):
W 0.000 0.000 0.000 (multiplicity 1)
W 0.000 0.500 0.500 (multiplicity 3)
C 0.500 0.500 0.500 (multiplicity 1)

relative energy among the computed polymorphs	0	meV per atom
total magnetic moment	0.00	μB per formula unit
calculated total energy	-11.943	eV per atom


# 2
Below is a geometry-optimized Be2CrCo5Mo2 structure, with properties calculated at the PBE level.

Unit cell a=8.816 b=8.816 c=2.835 alpha=90.00 beta=90.00 gamma=90.00
Space group P4/mbm (No. 127)
Symmetry-distinct sites (fractional):
Be 0.122 0.378 0.000 (multiplicity 4)
Cr 0.000 0.000 0.000 (multiplicity 2)
Co 0.000 0.500 0.500 (multiplicity 2)
Co 0.061 0.208 0.500 (multiplicity 8)
Mo 0.177 0.677 0.000 (multiplicity 4)

total magnetic moment	5.26	μB per formula unit
calculated total energy	-7.455	eV per atom


> Number 2 is which compound?

Be2CrCo5Mo2


What did the first record say?
Below is a geometry-optimized W4C structure, with properties calculated at the PBE level.

Unit cell a=4.166 b=4.166 c=4.166 alpha=90.00 beta=90.00 gamma=90.00
Space group Pm-3m (No. 221)
Symmetry-distinct sites (fractional):
W 0.000 0.000 0.000 (multiplicity 1)
W 0.000 0.500 0.500 (multiplicity 3)
C 0.500 0.500 0.500 (multiplicity 1)

relative energy among the computed polymorphs	0	meV per atom
total magnetic moment	0.00	μB per formula unit
calculated total energy	-11.943	eV per atom